First-principles (PBE) data for a relaxed Mn2GeS4 crystal, as listed in the Alexandria database.

a b c (Å): 6.0281 7.3890 12.7623
angles (deg): 90.01 90.07 90.01
Closest atoms and distances in Å follow each position.
Space group P1 (No. 1)
Symmetry-distinct sites (fractional):
Mn: 0.0000 0.0000 0.0000  6 S 2.51-2.66
Mn: 0.0012 0.2511 0.2727  6 S 2.55-2.63
Mn: 0.0006 0.7539 0.2734  6 S 2.55-2.64
Mn: 0.0069 0.4993 0.5427  6 S 2.51-2.67
Mn: 0.4997 0.5013 0.0398  6 S 2.54-2.68
Mn: 0.5015 0.2573 0.7690  6 S 2.55-2.63
Mn: 0.5043 0.7590 0.7712  6 S 2.54-2.63
Mn: 0.5076 0.0007 0.4983  6 S 2.48-2.70
Ge: 0.0867 0.0032 0.6814  4 S 2.22-2.26
Ge: 0.4182 0.0018 0.1818  4 S 2.22-2.27
Ge: 0.5862 0.5017 0.3601  4 S 2.22-2.26
Ge: 0.9188 0.5035 0.8595  4 S 2.22-2.26
S: 0.2174 0.5023 0.3656  1 Ge 2.22
S: 0.2474 0.0043 0.8417  1 Ge 2.26, 1 Mn 2.51
S: 0.2498 0.2375 0.1035  1 Ge 2.25
S: 0.2500 0.7657 0.1037  1 Ge 2.25
S: 0.2554 0.7683 0.6023  1 Ge 2.25
S: 0.2567 0.2409 0.6041  1 Ge 2.26
S: 0.2596 0.0024 0.3431  1 Ge 2.27, 1 Mn 2.48
S: 0.2876 0.5073 0.8630  1 Ge 2.22
S: 0.7179 0.0069 0.6769  1 Ge 2.22
S: 0.7475 0.5023 0.2007  1 Ge 2.26
S: 0.7493 0.7417 0.9366  1 Ge 2.26
S: 0.7508 0.2681 0.9385  1 Ge 2.25
S: 0.7550 0.2650 0.4390  1 Ge 2.26
S: 0.7555 0.7379 0.4392  1 Ge 2.26
S: 0.7575 0.5048 0.6996  1 Ge 2.26, 1 Mn 2.51
S: 0.7863 0.0022 0.1783  1 Ge 2.22

Results
* E_form (uncorrected): -457 meV per atom
* spin magnetization: 2.5 μB per formula unit
* energy: -6.095 eV per atom

---

First-principles (PBE) data for a relaxed Mn2GeS4 crystal, as listed in the Alexandria database.

a b c (Å): 10.2798 10.3425 7.2725
angles (deg): 90.00 134.70 90.00
Closest atoms and distances in Å follow each position.
Space group C2/c (No. 15)
Symmetry-distinct sites (fractional):
Mn: 0.0000 0.0000 0.0000  6 S 2.46-2.48
Mn: 0.2500 0.2500 0.0000  6 S 2.47-2.48
Ge: 0.0000 0.3758 0.2500  4 S 2.42-2.44
S: 0.0003 0.2393 0.5208  1 Ge 2.42, 3 Mn 2.47-2.48
S: 0.2276 0.0115 0.9774  1 Ge 2.44, 3 Mn 2.46-2.47

Results
* E_form (uncorrected): -433 meV per atom
* spin magnetization: 8.0 μB per formula unit
* energy: -6.071 eV per atom

---

First-principles (PBE) data for a relaxed SrMnGe2S6 crystal, as listed in the Alexandria database.

a b c (Å): 12.9862 12.2621 7.0074
angles (deg): 90.00 111.62 90.00
Closest atoms and distances in Å follow each position.
Space group C2/c (No. 15)
Symmetry-distinct sites (fractional):
Sr: 0.0000 0.1319 0.2500  6 S 2.94-3.06
Mn: 0.0000 0.2219 0.7500  4 S 2.35-2.47
Ge: 0.2006 0.4267 0.1940  4 S 2.22-2.31
S: 0.1138 0.0754 0.6850  1 Ge 2.24, 1 Mn 2.47
S: 0.1326 0.2637 0.0745  1 Ge 2.22, 1 Mn 2.35
S: 0.1357 0.4374 0.4595  2 Ge 2.27-2.31

Results
* E_form (uncorrected): -678 meV per atom
* spin magnetization: 5.0 μB per formula unit
* energy: -5.163 eV per atom

---

First-principles (PBE) data for a relaxed MnTlGe2S6 crystal, as listed in the Alexandria database.

a b c (Å): 14.0189 12.4763 6.4505
angles (deg): 90.00 108.70 90.00
Closest atoms and distances in Å follow each position.
Space group C2/c (No. 15)
Symmetry-distinct sites (fractional):
Mn: 0.0000 0.2422 0.2500  4 S 2.13-2.14
Tl: 0.0000 0.0975 0.7500  4 S 3.05-3.35
Ge: 0.2133 0.4126 0.6831  4 S 2.27-2.35
S: 0.0576 0.3322 0.5437  1 Mn 2.13, 1 Ge 2.31
S: 0.1165 0.1351 0.2321  1 Mn 2.14, 1 Ge 2.35
S: 0.2089 0.4203 0.0397  2 Ge 2.27-2.32

Results
* E_form (uncorrected): -206 meV per atom
* spin magnetization: 2.0 μB per formula unit
* energy: -4.759 eV per atom

---

First-principles (PBE) data for a relaxed Tm6MnGe2S14 crystal, as listed in the Alexandria database.

a b c (Å): 9.4933 9.4933 6.0289
angles (deg): 90.00 90.00 120.00
Closest atoms and distances in Å follow each position.
Space group P3 (No. 143)
Symmetry-distinct sites (fractional):
Tm: 0.0233 0.5379 0.0000  6 S 2.64-2.84
Tm: 0.3066 0.1254 0.5093  6 S 2.62-2.85
Mn: 0.6667 0.3333 0.3506  6 S 2.41-2.43
Ge: 0.0000 0.0000 0.9395  4 S 2.23-2.24
Ge: 0.3333 0.6667 0.4256  4 S 2.23-2.24
S: 0.0000 0.0000 0.3092  1 Ge 2.23
S: 0.1013 0.8568 0.7804  1 Ge 2.24
S: 0.1928 0.4233 0.2649  1 Ge 2.23
S: 0.3333 0.6667 0.7967  1 Ge 2.24
S: 0.4321 0.2027 0.1103  1 Mn 2.41, 2 Tm 2.62-2.64
S: 0.5274 0.4383 0.5748  1 Mn 2.43, 2 Tm 2.64-2.67

Results
* E_form (uncorrected): -1443 meV per atom
* spin magnetization: 0.9 μB per formula unit
* energy: -5.922 eV per atom

---

First-principles (PBE) data for a relaxed Mn3GeSb crystal, as listed in the Alexandria database.

a b c (Å): 5.0582 5.0582 5.0582
angles (deg): 90.00 90.00 90.00
Closest atoms and distances in Å follow each position.
Space group Pm-3m (No. 221)
Symmetry-distinct sites (fractional):
Mn: 0.0000 0.0000 0.5000  2 Sb 2.53
Ge: 0.5000 0.5000 0.5000  12 Mn 3.58
Sb: 0.0000 0.0000 0.0000  6 Mn 2.53

Results
* E_form (uncorrected): 1046 meV per atom
* spin magnetization: 11.4 μB per formula unit
* energy: -6.204 eV per atom

---

First-principles (PBE) data for a relaxed Mn2GeSb crystal, as listed in the Alexandria database.

a b c (Å): 4.1761 4.1761 17.2250
angles (deg): 90.00 90.00 90.00
Closest atoms and distances in Å follow each position.
Space group I-42d (No. 122)
Symmetry-distinct sites (fractional):
Mn: 0.2270 0.2500 0.1250  2 Ge 2.57, 2 Sb 2.65, 2 Mn 2.82
Ge: 0.0000 0.0000 0.0000  4 Mn 2.57
Sb: 0.0000 0.0000 0.5000  4 Mn 2.65, 4 Ge 2.95

Results
* E_form (uncorrected): 394 meV per atom
* spin magnetization: 6.3 μB per formula unit
* energy: -6.375 eV per atom

---

First-principles (PBE) data for a relaxed MnGeSb crystal, as listed in the Alexandria database.

a b c (Å): 5.5772 11.8997 3.4820
angles (deg): 90.00 90.00 90.00
Closest atoms and distances in Å follow each position.
Space group Cmmm (No. 65)
Symmetry-distinct sites (fractional):
Mn: 0.2375 0.0000 0.0000  2 Ge 2.42, 1 Mn 2.65
Ge: 0.0000 0.3382 0.0000  2 Mn 2.42
Sb: 0.0000 0.1372 0.5000  4 Mn 2.73, 2 Ge 2.96

Results
* E_form (uncorrected): 251 meV per atom
* spin magnetization: 2.0 μB per formula unit
* energy: -5.719 eV per atom